An optimized crystal structure of PuScU2P5, computed with PBE-GGA.

## Properties
SG: P4/mmm, No. 123
calculated formation energy: -0.43 eV/atom
E_tot: -0.3029 Ha/atom
total magnetization: 8.46 μB per formula unit
volume: 203.52 Å³/f.u.
D(E_F): 26.426 states/eV per cell

a = 4.4829 Å, b = 4.4829 Å, c = 10.1275 Å
α = 90.00°, β = 90.00°, γ = 90.00°
Last column: magnetic moment on the atom in μB.
Fractional coordinates of all 9 atoms:
Pu  0.0000  0.0000  0.0000  4.89
Sc  0.0000  0.0000  0.5000  -0.05
U  0.5000  0.5000  0.3107  2.07
U  0.5000  0.5000  0.6893  2.07
P  0.0000  0.5000  0.5000  -0.10
P  0.5000  0.0000  0.5000  -0.10
P  0.0000  0.0000  0.7478  -0.13
P  0.0000  0.0000  0.2522  -0.13
P  0.5000  0.5000  0.0000  -0.15